Entry 1:
KZn2Si after structural relaxation. Source: the Alexandria database, functional GGA-PBE.

Crystal system   tetragonal
VASP energy   -7.01 eV for the cell shown
Fermi-level density of states   0.4449 states/eV/atom
Energy relative to the elements, uncorrected   0.52 eV per atom

Cell: 4.619 4.619 4.116 Å, 90.00 90.00 90.00°
Atoms (fractional coordinates):
1 K 0.000 0.000 0.000
2 Zn 0.000 0.500 0.500
3 Zn 0.500 0.000 0.500
4 Si 0.500 0.500 0.000



Entry 2:
Be2CoPt after structural relaxation. Source: the Alexandria database, functional GGA-PBE.

Distance to the lowest polymorph of the same formula   0 meV/atom
Crystal system   cubic
VASP energy   -22.99 eV for the cell shown
Fermi-level density of states   0.3808 states/eV/atom
Formation enthalpy at 0 K   -58 kJ/mol of atoms

Cell: 3.852 3.852 3.852 Å, 60.00 60.00 60.00°
Atoms (fractional coordinates):
1 Be 0.250 0.250 0.250
2 Be 0.750 0.750 0.750
3 Co 0.000 0.000 0.000
4 Pt 0.500 0.500 0.500